No. 1
SrLi2W: optimized geometry, PBE.

For the density of states at the Fermi level, the calculation gives 3.87 states/eV/cell. The value obtained for the formation energy is 0.97 eV/atom. Its total energy is -0.26793 Ry per atom.

It has space group P4/mmm (No. 123), with a = 5.1814 Å, b = 5.1814 Å, c = 2.9024 Å, α = 90.00°, β = 90.00° and γ = 90.00°. Symmetry generates all atoms from Sr at (0.0000, 0.0000, 0.0000), Li at (0.0000, 0.5000, 0.5000) and W at (0.5000, 0.5000, 0.0000).

***

No. 2
LiYGe2Pt4: optimized geometry, PBE.

For the density of states at the Fermi level, the calculation gives 9.72 states/eV/cell. The value obtained for the formation energy is -0.76 eV/atom. Its total energy is -0.43939 Ry per atom.

It has space group R-3m (No. 166, hexagonal axes), with a = 4.2665 Å, b = 4.2665 Å, c = 25.5234 Å, α = 90.00°, β = 90.00° and γ = 120.00°. Symmetry generates all atoms from Li at (0.0000, 0.0000, 0.0000), Y at (0.0000, 0.0000, 0.5000), Ge at (0.0000, 0.0000, 0.2589), Pt at (0.0000, 0.0000, 0.0967) and Pt at (0.0000, 0.0000, 0.3645).

***

Please write out number 2 again, unchanged.
LiYGe2Pt4: optimized geometry, PBE.

For the density of states at the Fermi level, the calculation gives 9.72 states/eV/cell. The value obtained for the formation energy is -0.76 eV/atom. Its total energy is -0.43939 Ry per atom.

It has space group R-3m (No. 166, hexagonal axes), with a = 4.2665 Å, b = 4.2665 Å, c = 25.5234 Å, α = 90.00°, β = 90.00° and γ = 120.00°. Symmetry generates all atoms from Li at (0.0000, 0.0000, 0.0000), Y at (0.0000, 0.0000, 0.5000), Ge at (0.0000, 0.0000, 0.2589), Pt at (0.0000, 0.0000, 0.0967) and Pt at (0.0000, 0.0000, 0.3645).